{"formula": "CuBMoAu", "functional": "GGA-PBE", "state": "relaxed", "e_above_lowest_polymorph_ev_per_atom": 0.332, "crystal_system": "cubic", "total_energy_ev_per_atom": -5.0032, "space_group": "F-43m, No. 216", "vol_a3_per_cell": 55.66, "lattice": [[0.0000, 3.0304, 3.0304], [3.0304, 0.0000, 3.0304], [3.0304, 3.0304, 0.0000]], "species": ["B", "Cu", "Au", "Mo"], "frac_coords": [[0.0000, 0.0000, 0.0000], [0.7500, 0.7500, 0.7500], [0.2500, 0.2500, 0.2500], [0.5000, 0.5000, 0.5000]]}